Entry from Alexandria via LeMat-Bulk: an optimized crystal structure of AcPb6 (PBE).

Geometry as CIF:
```
data_AcPb6
_cell_length_a 7.383
_cell_length_b 7.383
_cell_length_c 7.383
_cell_angle_alpha 109.47
_cell_angle_beta 109.47
_cell_angle_gamma 109.47
_space_group_name_H-M_alt 'P 1'
_space_group_IT_number 1
_space_group_name_Hall 'P 1'
loop_
_atom_site_label
_atom_site_type_symbol
_atom_site_fract_x
_atom_site_fract_y
_atom_site_fract_z
Ac1 Ac 0.000 0.000 0.000
Pb1 Pb 0.250 0.500 0.750
Pb2 Pb 0.250 0.750 0.500
Pb3 Pb 0.500 0.250 0.750
Pb4 Pb 0.500 0.750 0.250
Pb5 Pb 0.750 0.250 0.500
Pb6 Pb 0.750 0.500 0.250
```

=====

# Ac3Pb (PBE, optimized geometry)
# * ΔE to the lowest computed polymorph: 0.62 kcal/mol of atoms
data_Ac3Pb
_cell_length_a 7.257
_cell_length_b 7.257
_cell_length_c 7.257
_cell_angle_alpha 148.35
_cell_angle_beta 63.70
_cell_angle_gamma 126.28
_space_group_name_H-M_alt 'P 1'
_space_group_IT_number 1
_space_group_name_Hall 'P 1'
loop_
_atom_site_label
_atom_site_type_symbol
_atom_site_fract_x
_atom_site_fract_y
_atom_site_fract_z
Ac1 Ac 0.000 0.000 0.000
Ac2 Ac 0.390 0.615 0.775
Ac3 Ac 0.840 0.615 0.225
Pb1 Pb 0.455 0.955 0.500

=====

Entry from Alexandria via LeMat-Bulk: an optimized crystal structure of Ac4Pd3Pb8 (PBE).

Geometry as CIF:
```
data_Ac4Pd3Pb8
_cell_length_a 4.941
_cell_length_b 4.941
_cell_length_c 18.765
_cell_angle_alpha 90.00
_cell_angle_beta 90.00
_cell_angle_gamma 90.00
_space_group_name_H-M_alt 'P 1'
_space_group_IT_number 1
_space_group_name_Hall 'P 1'
loop_
_atom_site_label
_atom_site_type_symbol
_atom_site_fract_x
_atom_site_fract_y
_atom_site_fract_z
Ac1 Ac 0.000 0.500 0.093
Ac2 Ac 0.000 0.500 0.614
Ac3 Ac 0.500 0.000 0.386
Ac4 Ac 0.500 0.000 0.907
Pd1 Pd 0.000 0.000 0.000
Pd2 Pd 0.000 0.000 0.500
Pd3 Pd 0.500 0.500 0.500
Pb1 Pb 0.000 0.000 0.240
Pb2 Pb 0.000 0.000 0.760
Pb3 Pb 0.000 0.500 0.415
Pb4 Pb 0.000 0.500 0.898
Pb5 Pb 0.500 0.000 0.102
Pb6 Pb 0.500 0.000 0.585
Pb7 Pb 0.500 0.500 0.236
Pb8 Pb 0.500 0.500 0.764
```

=====

# AcPd4Pb2 (PBE, optimized geometry)
# * ΔE to the lowest computed polymorph: 0.00 kcal/mol of atoms
data_AcPd4Pb2
_cell_length_a 20.883
_cell_length_b 4.954
_cell_length_c 5.996
_cell_angle_alpha 90.00
_cell_angle_beta 90.00
_cell_angle_gamma 90.00
_space_group_name_H-M_alt 'P 1'
_space_group_IT_number 1
_space_group_name_Hall 'P 1'
loop_
_atom_site_label
_atom_site_type_symbol
_atom_site_fract_x
_atom_site_fract_y
_atom_site_fract_z
Ac1 Ac 0.121 0.250 0.073
Ac2 Ac 0.379 0.750 0.573
Ac3 Ac 0.621 0.250 0.427
Ac4 Ac 0.879 0.750 0.927
Pd1 Pd 0.017 0.750 0.152
Pd2 Pd 0.101 0.250 0.574
Pd3 Pd 0.148 0.750 0.341
Pd4 Pd 0.175 0.750 0.784
Pd5 Pd 0.325 0.250 0.284
Pd6 Pd 0.352 0.250 0.841
Pd7 Pd 0.399 0.750 0.074
Pd8 Pd 0.483 0.250 0.652
Pd9 Pd 0.517 0.750 0.348
Pd10 Pd 0.601 0.250 0.926
Pd11 Pd 0.648 0.750 0.159
Pd12 Pd 0.675 0.750 0.716
Pd13 Pd 0.825 0.250 0.216
Pd14 Pd 0.852 0.250 0.659
Pd15 Pd 0.899 0.750 0.426
Pd16 Pd 0.983 0.250 0.848
Pb1 Pb 0.038 0.750 0.661
Pb2 Pb 0.234 0.250 0.614
Pb3 Pb 0.266 0.750 0.114
Pb4 Pb 0.462 0.250 0.161
Pb5 Pb 0.538 0.750 0.839
Pb6 Pb 0.734 0.250 0.886
Pb7 Pb 0.766 0.750 0.386
Pb8 Pb 0.962 0.250 0.339

=====

# AcPd2Pb4 (PBE, optimized geometry)
# * ΔE to the lowest computed polymorph: 0.00 kcal/mol of atoms
data_AcPd2Pb4
_cell_length_a 19.852
_cell_length_b 4.779
_cell_length_c 7.811
_cell_angle_alpha 90.00
_cell_angle_beta 90.00
_cell_angle_gamma 90.00
_space_group_name_H-M_alt 'P 1'
_space_group_IT_number 1
_space_group_name_Hall 'P 1'
loop_
_atom_site_label
_atom_site_type_symbol
_atom_site_fract_x
_atom_site_fract_y
_atom_site_fract_z
Ac1 Ac 0.143 0.250 0.025
Ac2 Ac 0.357 0.750 0.525
Ac3 Ac 0.643 0.250 0.475
Ac4 Ac 0.857 0.750 0.975
Pd1 Pd 0.040 0.750 0.233
Pd2 Pd 0.217 0.250 0.535
Pd3 Pd 0.283 0.750 0.035
Pd4 Pd 0.460 0.250 0.733
Pd5 Pd 0.540 0.750 0.267
Pd6 Pd 0.717 0.250 0.965
Pd7 Pd 0.783 0.750 0.465
Pd8 Pd 0.960 0.250 0.767
Pb1 Pb 0.031 0.750 0.855
Pb2 Pb 0.067 0.250 0.499
Pb3 Pb 0.182 0.750 0.326
Pb4 Pb 0.192 0.750 0.734
Pb5 Pb 0.308 0.250 0.234
Pb6 Pb 0.318 0.250 0.826
Pb7 Pb 0.433 0.750 0.999
Pb8 Pb 0.469 0.250 0.355
Pb9 Pb 0.531 0.750 0.645
Pb10 Pb 0.567 0.250 0.001
Pb11 Pb 0.682 0.750 0.174
Pb12 Pb 0.692 0.750 0.766
Pb13 Pb 0.808 0.250 0.266
Pb14 Pb 0.818 0.250 0.674
Pb15 Pb 0.933 0.750 0.501
Pb16 Pb 0.969 0.250 0.145

=====

Entry from Alexandria via LeMat-Bulk: an optimized crystal structure of Ac3Pd12Pb (PBE).

Geometry as CIF:
```
data_Ac3Pd12Pb
_cell_length_a 4.286
_cell_length_b 4.286
_cell_length_c 16.907
_cell_angle_alpha 90.00
_cell_angle_beta 90.00
_cell_angle_gamma 90.00
_space_group_name_H-M_alt 'P 1'
_space_group_IT_number 1
_space_group_name_Hall 'P 1'
loop_
_atom_site_label
_atom_site_type_symbol
_atom_site_fract_x
_atom_site_fract_y
_atom_site_fract_z
Ac1 Ac 0.000 0.000 0.000
Ac2 Ac 0.000 0.000 0.256
Ac3 Ac 0.000 0.000 0.744
Pd1 Pd 0.000 0.500 0.128
Pd2 Pd 0.000 0.500 0.386
Pd3 Pd 0.000 0.500 0.614
Pd4 Pd 0.000 0.500 0.872
Pd5 Pd 0.500 0.000 0.128
Pd6 Pd 0.500 0.000 0.386
Pd7 Pd 0.500 0.000 0.614
Pd8 Pd 0.500 0.000 0.872
Pd9 Pd 0.500 0.500 0.000
Pd10 Pd 0.500 0.500 0.260
Pd11 Pd 0.500 0.500 0.500
Pd12 Pd 0.500 0.500 0.740
Pb1 Pb 0.000 0.000 0.500
```

=====

In the order shown, the computed calculated formation energy values come out to 41.6; -21.8; -43.3; -47.4; -39.2; -59.1 kJ per mole of atoms.